(1)
Here is a crystal of EuBrO relaxed with PBEsol from Alexandria. Energies are from meta-GGA SCAN.

The structure in POSCAR format:
```
EuBrO
1.0
3.924 0.000 0.000
0.000 3.924 0.000
0.000 0.000 7.735
Eu Br O
2 2 2
Direct
0.250 0.250 0.153 Eu
0.750 0.750 0.847 Eu
0.250 0.250 0.649 Br
0.750 0.750 0.351 Br
0.250 0.750 0.000 O
0.750 0.250 0.000 O
```

Values from the calculation:
N(E_F): 8.8 states/eV per cell
VASP energy: -29.021 eV/atom

(2)
Here is a crystal of Na2Cd11 relaxed with PBEsol from Alexandria. Energies are from meta-GGA SCAN.

The structure in POSCAR format:
```
Na2Cd11
1.0
9.494 0.000 0.000
0.000 9.494 0.000
0.000 0.000 9.494
Na Cd
6 33
Direct
0.000 0.302 0.500 Na
0.000 0.698 0.500 Na
0.302 0.500 0.000 Na
0.500 0.000 0.302 Na
0.500 0.000 0.698 Na
0.698 0.500 0.000 Na
0.000 0.000 0.231 Cd
0.000 0.000 0.769 Cd
0.000 0.231 0.000 Cd
0.000 0.500 0.158 Cd
0.000 0.500 0.842 Cd
0.000 0.769 0.000 Cd
0.158 0.000 0.500 Cd
0.218 0.218 0.218 Cd
0.218 0.218 0.782 Cd
0.218 0.782 0.218 Cd
0.218 0.782 0.782 Cd
0.231 0.000 0.000 Cd
0.233 0.500 0.344 Cd
0.233 0.500 0.656 Cd
0.344 0.233 0.500 Cd
0.344 0.767 0.500 Cd
0.500 0.158 0.000 Cd
0.500 0.344 0.233 Cd
0.500 0.344 0.767 Cd
0.500 0.500 0.500 Cd
0.500 0.656 0.233 Cd
0.500 0.656 0.767 Cd
0.500 0.842 0.000 Cd
0.656 0.233 0.500 Cd
0.656 0.767 0.500 Cd
0.767 0.500 0.344 Cd
0.767 0.500 0.656 Cd
0.769 0.000 0.000 Cd
0.782 0.218 0.218 Cd
0.782 0.218 0.782 Cd
0.782 0.782 0.218 Cd
0.782 0.782 0.782 Cd
0.842 0.000 0.500 Cd
```

Values from the calculation:
N(E_F): 10.7 states/eV per cell
Formation energy from the elements: -114 meV/atom
VASP energy: -26.498 eV/atom

(3)
Here is a crystal of MgPdS3 relaxed with PBEsol from Alexandria. Energies are from meta-GGA SCAN.

The structure in POSCAR format:
```
MgPdS3
1.0
4.643 0.000 0.000
0.000 4.643 0.000
0.000 0.000 4.643
Mg Pd S
1 1 3
Direct
0.000 0.000 0.000 Mg
0.500 0.500 0.500 Pd
0.000 0.500 0.500 S
0.500 0.000 0.500 S
0.500 0.500 0.000 S
```

Values from the calculation:
N(E_F): 3.9 states/eV per cell
VASP energy: -13.280 eV/atom

(4)
Here is a crystal of MnNbH3 relaxed with PBEsol from Alexandria. Energies are from meta-GGA SCAN.

The structure in POSCAR format:
```
MnNbH3
1.0
3.291 0.000 0.000
0.000 3.291 0.000
0.000 0.000 3.291
Mn Nb H
1 1 3
Direct
0.000 0.000 0.000 Mn
0.500 0.500 0.500 Nb
0.000 0.000 0.500 H
0.000 0.500 0.000 H
0.500 0.000 0.000 H
```

Values from the calculation:
N(E_F): 1.8 states/eV per cell
VASP energy: -12.365 eV/atom

(5)
Here is a crystal of Sn2Ru relaxed with PBEsol from Alexandria. Energies are from meta-GGA SCAN.

The structure in POSCAR format:
```
Sn2Ru
1.0
6.343 0.000 0.000
0.000 6.343 0.000
0.000 0.000 5.711
Sn Ru
8 4
Direct
0.163 0.337 0.000 Sn
0.163 0.663 0.500 Sn
0.337 0.163 0.500 Sn
0.337 0.837 0.000 Sn
0.663 0.163 0.000 Sn
0.663 0.837 0.500 Sn
0.837 0.337 0.500 Sn
0.837 0.663 0.000 Sn
0.000 0.000 0.250 Ru
0.000 0.000 0.750 Ru
0.500 0.500 0.250 Ru
0.500 0.500 0.750 Ru
```

Values from the calculation:
N(E_F): 7.5 states/eV per cell
Formation energy from the elements: -82 meV/atom
VASP energy: -35.638 eV/atom

(6)
Here is a crystal of LaSiNi relaxed with PBEsol from Alexandria. Energies are from meta-GGA SCAN.

The structure in POSCAR format:
```
LaSiNi
1.0
6.378 0.000 0.000
0.000 6.378 0.000
0.000 0.000 6.378
La Si Ni
4 4 4
Direct
0.000 0.000 0.000 La
0.000 0.500 0.500 La
0.500 0.000 0.500 La
0.500 0.500 0.000 La
0.250 0.250 0.250 Si
0.250 0.750 0.750 Si
0.750 0.250 0.750 Si
0.750 0.750 0.250 Si
0.000 0.000 0.500 Ni
0.000 0.500 0.000 Ni
0.500 0.000 0.000 Ni
0.500 0.500 0.500 Ni
```

Values from the calculation:
N(E_F): 14.9 states/eV per cell
VASP energy: -23.128 eV/atom

(7)
Here is a crystal of La2CoAg relaxed with PBEsol from Alexandria. Energies are from meta-GGA SCAN.

The structure in POSCAR format:
```
La2CoAg
1.0
3.955 0.000 0.000
-1.978 3.425 0.000
0.000 0.000 22.563
La Co Ag
6 3 3
Direct
0.000 0.000 0.234 La
0.000 0.000 0.766 La
0.333 0.667 0.432 La
0.333 0.667 0.901 La
0.667 0.333 0.099 La
0.667 0.333 0.568 La
0.000 0.000 0.500 Co
0.333 0.667 0.167 Co
0.667 0.333 0.833 Co
0.000 0.000 0.000 Ag
0.333 0.667 0.667 Ag
0.667 0.333 0.333 Ag
```

Values from the calculation:
N(E_F): 5.5 states/eV per cell
Formation energy from the elements: -27 meV/atom
VASP energy: -33.747 eV/atom

(8)
Here is a crystal of Cs2CuBrCl3 relaxed with PBEsol from Alexandria. Energies are from meta-GGA SCAN.

The structure in POSCAR format:
```
Cs2CuBrCl3
1.0
5.031 0.000 0.000
0.000 5.031 0.000
0.000 0.000 16.532
Cs Cu Br Cl
4 2 2 6
Direct
0.000 0.000 0.000 Cs
0.000 0.000 0.279 Cs
0.500 0.500 0.500 Cs
0.500 0.500 0.779 Cs
0.000 0.000 0.643 Cu
0.500 0.500 0.143 Cu
0.000 0.000 0.495 Br
0.500 0.500 0.995 Br
0.000 0.000 0.782 Cl
0.000 0.500 0.141 Cl
0.000 0.500 0.641 Cl
0.500 0.000 0.141 Cl
0.500 0.000 0.641 Cl
0.500 0.500 0.282 Cl
```

Values from the calculation:
N(E_F): 1.4 states/eV per cell
VASP energy: -20.678 eV/atom

(9)
Here is a crystal of Y2CuHg relaxed with PBEsol from Alexandria. Energies are from meta-GGA SCAN.

The structure in POSCAR format:
```
Y2CuHg
1.0
5.028 0.000 0.000
0.000 5.028 0.000
0.000 0.000 3.567
Y Cu Hg
2 1 1
Direct
0.000 0.500 0.000 Y
0.500 0.000 0.000 Y
0.000 0.000 0.500 Cu
0.500 0.500 0.500 Hg
```

Values from the calculation:
N(E_F): 2.3 states/eV per cell
Formation energy from the elements: -514 meV/atom
VASP energy: -35.276 eV/atom

(10)
Here is a crystal of La2YCd relaxed with PBEsol from Alexandria. Energies are from meta-GGA SCAN.

The structure in POSCAR format:
```
La2YCd
1.0
3.671 0.000 0.000
0.000 3.671 0.000
0.000 0.000 8.822
La Y Cd
2 1 1
Direct
0.000 0.000 0.000 La
0.500 0.500 0.280 La
0.000 0.000 0.554 Y
0.500 0.500 0.758 Cd
```

Values from the calculation:
N(E_F): 4.9 states/eV per cell
Formation energy from the elements: -209 meV/atom
VASP energy: -36.326 eV/atom

(11)
Here is a crystal of KReTe2 relaxed with PBEsol from Alexandria. Energies are from meta-GGA SCAN.

The structure in POSCAR format:
```
KReTe2
1.0
5.263 0.000 0.000
0.000 5.263 0.000
0.000 0.000 3.293
K Re Te
1 1 2
Direct
0.000 0.000 0.000 K
0.500 0.500 0.000 Re
0.000 0.500 0.500 Te
0.500 0.000 0.500 Te
```

Values from the calculation:
N(E_F): 1.7 states/eV per cell
VASP energy: -37.767 eV/atom
Energy relative to the lowest polymorph listed for this composition: 0.529 eV per atom

(12)
Here is a crystal of CdNi2O relaxed with PBEsol from Alexandria. Energies are from meta-GGA SCAN.

The structure in POSCAR format:
```
CdNi2O
1.0
5.792 0.000 0.000
0.000 5.792 0.000
0.000 0.000 5.792
Cd Ni O
4 8 4
Direct
0.000 0.000 0.000 Cd
0.000 0.500 0.500 Cd
0.500 0.000 0.500 Cd
0.500 0.500 0.000 Cd
0.250 0.250 0.250 Ni
0.250 0.250 0.750 Ni
0.250 0.750 0.250 Ni
0.250 0.750 0.750 Ni
0.750 0.250 0.250 Ni
0.750 0.250 0.750 Ni
0.750 0.750 0.250 Ni
0.750 0.750 0.750 Ni
0.000 0.000 0.500 O
0.000 0.500 0.000 O
0.500 0.000 0.000 O
0.500 0.500 0.500 O
```

Values from the calculation:
N(E_F): 21.5 states/eV per cell
VASP energy: -16.706 eV/atom

(13)
Here is a crystal of CaMgSe2N relaxed with PBEsol from Alexandria. Energies are from meta-GGA SCAN.

The structure in POSCAR format:
```
CaMgSe2N
1.0
5.390 0.000 0.000
0.000 5.390 0.000
0.000 0.000 4.376
Ca Mg Se N
1 1 2 1
Direct
0.000 0.000 0.000 Ca
0.500 0.500 0.500 Mg
0.000 0.500 0.000 Se
0.500 0.000 0.000 Se
0.000 0.000 0.500 N
```

Values from the calculation:
N(E_F): 2.2 states/eV per cell
VASP energy: -12.653 eV/atom

(14)
Here is a crystal of ZnIn3O relaxed with PBEsol from Alexandria. Energies are from meta-GGA SCAN.

The structure in POSCAR format:
```
ZnIn3O
1.0
4.730 0.000 0.000
0.000 4.730 0.000
0.000 0.000 4.730
Zn In O
1 3 1
Direct
0.000 0.000 0.000 Zn
0.000 0.500 0.500 In
0.500 0.000 0.500 In
0.500 0.500 0.000 In
0.500 0.500 0.500 O
```

Values from the calculation:
N(E_F): 2.2 states/eV per cell
VASP energy: -24.023 eV/atom

(15)
Here is a crystal of KZnRh3 relaxed with PBEsol from Alexandria. Energies are from meta-GGA SCAN.

The structure in POSCAR format:
```
KZnRh3
1.0
4.628 0.000 0.000
0.000 4.628 0.000
0.000 0.000 4.628
K Zn Rh
1 1 3
Direct
0.000 0.000 0.000 K
0.500 0.500 0.500 Zn
0.000 0.500 0.500 Rh
0.500 0.000 0.500 Rh
0.500 0.500 0.000 Rh
```

Values from the calculation:
N(E_F): 5.3 states/eV per cell
Formation energy from the elements: 941 meV/atom
VASP energy: -23.691 eV/atom

(16)
Here is a crystal of Os3Cl relaxed with PBEsol from Alexandria. Energies are from meta-GGA SCAN.

The structure in POSCAR format:
```
Os3Cl
1.0
2.792 0.000 0.000
-1.396 2.418 0.000
0.000 0.000 8.527
Os Cl
3 1
Direct
0.000 0.000 0.000 Os
0.333 0.667 0.240 Os
0.333 0.667 0.760 Os
0.000 0.000 0.500 Cl
```

Values from the calculation:
N(E_F): 1.8 states/eV per cell
VASP energy: -55.317 eV/atom
Energy relative to the lowest polymorph listed for this composition: 0.000 eV per atom

(17)
Here is a crystal of CaTeAs2 relaxed with PBEsol from Alexandria. Energies are from meta-GGA SCAN.

The structure in POSCAR format:
```
CaTeAs2
1.0
4.050 0.000 0.000
0.000 4.050 0.000
0.000 0.000 5.715
Ca Te As
1 1 2
Direct
0.000 0.000 0.000 Ca
0.000 0.000 0.500 Te
0.500 0.500 0.269 As
0.500 0.500 0.731 As
```

Values from the calculation:
N(E_F): 1.5 states/eV per cell
VASP energy: -22.120 eV/atom

(18)
Here is a crystal of La2ReSe relaxed with PBEsol from Alexandria. Energies are from meta-GGA SCAN.

The structure in POSCAR format:
```
La2ReSe
1.0
4.379 0.000 0.000
-2.189 3.792 0.000
0.000 0.000 20.306
La Re Se
6 3 3
Direct
0.000 0.000 0.000 La
0.000 0.000 0.170 La
0.333 0.667 0.667 La
0.333 0.667 0.837 La
0.667 0.333 0.333 La
0.667 0.333 0.503 La
0.000 0.000 0.756 Re
0.333 0.667 0.422 Re
0.667 0.333 0.089 Re
0.000 0.000 0.413 Se
0.333 0.667 0.080 Se
0.667 0.333 0.747 Se
```

Values from the calculation:
N(E_F): 7.6 states/eV per cell
VASP energy: -44.711 eV/atom

(19)
Here is a crystal of ZrZn2Pt2 relaxed with PBEsol from Alexandria. Energies are from meta-GGA SCAN.

The structure in POSCAR format:
```
ZrZn2Pt2
1.0
7.421 0.000 0.000
0.000 7.421 0.000
0.000 0.000 2.799
Zr Zn Pt
2 4 4
Direct
0.000 0.000 0.000 Zr
0.500 0.500 0.000 Zr
0.118 0.382 0.000 Zn
0.382 0.882 0.000 Zn
0.618 0.118 0.000 Zn
0.882 0.618 0.000 Zn
0.180 0.680 0.500 Pt
0.320 0.180 0.500 Pt
0.680 0.820 0.500 Pt
0.820 0.320 0.500 Pt
```

Values from the calculation:
N(E_F): 5.3 states/eV per cell
Formation energy from the elements: -769 meV/atom
VASP energy: -40.392 eV/atom
Energy relative to the lowest polymorph listed for this composition: 0.060 eV per atom

(20)
Here is a crystal of Ho5Co19P12 relaxed with PBEsol from Alexandria. Energies are from meta-GGA SCAN.

The structure in POSCAR format:
```
Ho5Co19P12
1.0
11.820 0.000 0.000
-5.910 10.236 0.000
0.000 0.000 3.612
Ho Co P
5 19 12
Direct
0.000 0.187 0.000 Ho
0.187 0.000 0.000 Ho
0.333 0.667 0.500 Ho
0.667 0.333 0.500 Ho
0.813 0.813 0.000 Ho
0.000 0.000 0.500 Co
0.000 0.553 0.500 Co
0.000 0.715 0.000 Co
0.125 0.484 0.000 Co
0.178 0.801 0.500 Co
0.199 0.378 0.500 Co
0.285 0.285 0.000 Co
0.358 0.875 0.000 Co
0.378 0.199 0.500 Co
0.447 0.447 0.500 Co
0.484 0.125 0.000 Co
0.516 0.642 0.000 Co
0.553 0.000 0.500 Co
0.622 0.822 0.500 Co
0.642 0.516 0.000 Co
0.715 0.000 0.000 Co
0.801 0.178 0.500 Co
0.822 0.622 0.500 Co
0.875 0.358 0.000 Co
0.000 0.368 0.500 P
0.000 0.819 0.500 P
0.165 0.685 0.000 P
0.181 0.181 0.500 P
0.315 0.480 0.000 P
0.368 0.000 0.500 P
0.480 0.315 0.000 P
0.520 0.835 0.000 P
0.632 0.632 0.500 P
0.685 0.165 0.000 P
0.819 0.000 0.500 P
0.835 0.520 0.000 P
```

Values from the calculation:
N(E_F): 9.5 states/eV per cell
Formation energy from the elements: -856 meV/atom
VASP energy: -20.259 eV/atom

(21)
Here is a crystal of AlCrAg2 relaxed with PBEsol from Alexandria. Energies are from meta-GGA SCAN.

The structure in POSCAR format:
```
AlCrAg2
1.0
3.235 0.000 0.000
0.000 3.235 0.000
0.000 0.000 6.071
Al Cr Ag
1 1 2
Direct
0.000 0.000 0.000 Al
0.000 0.000 0.500 Cr
0.500 0.500 0.243 Ag
0.500 0.500 0.757 Ag
```

Values from the calculation:
N(E_F): 1.6 states/eV per cell
Formation energy from the elements: 73 meV/atom
VASP energy: -22.145 eV/atom

(22)
Here is a crystal of LiZrFe4 relaxed with PBEsol from Alexandria. Energies are from meta-GGA SCAN.

The structure in POSCAR format:
```
LiZrFe4
1.0
0.000 3.358 3.358
3.358 0.000 3.358
3.358 3.358 0.000
Li Zr Fe
1 1 4
Direct
0.000 0.000 0.000 Li
0.750 0.750 0.750 Zr
0.374 0.374 0.374 Fe
0.374 0.374 0.878 Fe
0.374 0.878 0.374 Fe
0.878 0.374 0.374 Fe
```

Values from the calculation:
N(E_F): 7.4 states/eV per cell
Formation energy from the elements: 34 meV/atom
VASP energy: -17.567 eV/atom

(23)
Here is a crystal of Y2BePt relaxed with PBEsol from Alexandria. Energies are from meta-GGA SCAN.

The structure in POSCAR format:
```
Y2BePt
1.0
6.614 0.000 0.000
0.000 6.614 0.000
0.000 0.000 6.614
Y Be Pt
8 4 4
Direct
0.000 0.000 0.000 Y
0.000 0.500 0.500 Y
0.250 0.250 0.250 Y
0.250 0.750 0.750 Y
0.500 0.000 0.500 Y
0.500 0.500 0.000 Y
0.750 0.250 0.750 Y
0.750 0.750 0.250 Y
0.000 0.000 0.500 Be
0.000 0.500 0.000 Be
0.500 0.000 0.000 Be
0.500 0.500 0.500 Be
0.250 0.250 0.750 Pt
0.250 0.750 0.250 Pt
0.750 0.250 0.250 Pt
0.750 0.750 0.750 Pt
```

Values from the calculation:
Formation energy from the elements: -502 meV/atom
VASP energy: -33.060 eV/atom

(24)
Here is a crystal of HfRhI2O relaxed with PBEsol from Alexandria. Energies are from meta-GGA SCAN.

The structure in POSCAR format:
```
HfRhI2O
1.0
5.593 0.000 0.000
0.000 5.593 0.000
0.000 0.000 3.862
Hf Rh I O
1 1 2 1
Direct
0.000 0.000 0.000 Hf
0.500 0.500 0.500 Rh
0.000 0.500 0.000 I
0.500 0.000 0.000 I
0.000 0.000 0.500 O
```

Values from the calculation:
N(E_F): 1.8 states/eV per cell
VASP energy: -35.809 eV/atom

(25)
Here is a crystal of Mg4Re3 relaxed with PBEsol from Alexandria. Energies are from meta-GGA SCAN.

The structure in POSCAR format:
```
Mg4Re3
1.0
5.196 0.000 0.000
-2.598 4.500 0.000
0.000 0.000 5.195
Mg Re
4 3
Direct
0.000 0.000 0.242 Mg
0.000 0.000 0.758 Mg
0.333 0.667 0.500 Mg
0.667 0.333 0.500 Mg
0.000 0.500 0.000 Re
0.500 0.000 0.000 Re
0.500 0.500 0.000 Re
```

Values from the calculation:
N(E_F): 4.8 states/eV per cell
Formation energy from the elements: 178 meV/atom
VASP energy: -33.135 eV/atom
Energy relative to the lowest polymorph listed for this composition: 0.000 eV per atom